The following is a PBEsol calculation of a geometry-optimized Ba2LiO2 structure, from the Alexandria database.

Output
- Formation energy (no corrections): -1.619 eV/atom

Geometry as CIF:
```
data_Ba2LiO2
_space_group_name_H-M_alt 'I 4/m m m'
_space_group_IT_number 139
_space_group_name_Hall '-I 4 2'
_cell_length_a 4.738
_cell_length_b 4.738
_cell_length_c 13.356
_cell_angle_alpha 90.00
_cell_angle_beta 90.00
_cell_angle_gamma 90.00
loop_
_atom_site_label
_atom_site_type_symbol
_atom_site_fract_x
_atom_site_fract_y
_atom_site_fract_z
Ba1 Ba 0.000 0.000 0.178
Li1 Li 0.000 0.000 0.500
O1 O 0.000 0.500 0.250
```